# 1
Computed, not measured: a PBEsol-optimized structure of KTl2 at the meta-GGA SCAN level of DFT.

Values from the calculation:
Its space group is P6_3/mmc, No. 194. Its distance to the lowest polymorph of the same formula is 113 meV per atom. As for the formation enthalpy at 0 K: -79 meV/atom. The theoretical density is 7.91 g/cm3. The density of states at the Fermi level comes out at 3.4 states/eV per cell. As for the final energy: -51.0937 eV per atom.

a = 5.667 Å, b = 5.667 Å, c = 6.756 Å
α = 90.00°, β = 90.00°, γ = 120.00°
Sites, in units of the cell vectors:
K 0.333 0.667 0.750
K 0.667 0.333 0.250
Tl 0.000 0.000 0.000
Tl 0.000 0.000 0.500
Tl 0.667 0.333 0.750
Tl 0.333 0.667 0.250

***

# 2
Computed, not measured: a PBEsol-optimized structure of YSbTe2W at the meta-GGA SCAN level of DFT.

Values from the calculation:
Its space group is P4/mmm, No. 123. Its distance to the lowest polymorph of the same formula is 0 meV per atom. The raw formation energy comes out at 0.380 eV per atom. The theoretical density is 7.46 g/cm3. The density of states at the Fermi level comes out at 4.2 states/eV per cell. As for the final energy: -41.4789 eV per atom.

a = 5.183 Å, b = 5.282 Å, c = 5.282 Å
α = 90.00°, β = 90.00°, γ = 90.00°
Site moments in Bohr magnetons follow the coordinates.
Sites, in units of the cell vectors:
Y 0.500 0.500 0.500  0.20
Sb 0.500 0.000 0.000  -0.03
Te 0.000 0.000 0.500  -0.01
Te 0.000 0.500 0.000  -0.01
W 0.000 0.000 0.000  1.19

***

# 3
Computed, not measured: a PBEsol-optimized structure of ZrBe3Ge at the meta-GGA SCAN level of DFT.

Values from the calculation:
Its space group is Pm-3m, No. 221. As for the formation enthalpy at 0 K: 1812 meV/atom. The theoretical density is 3.18 g/cm3. The density of states at the Fermi level comes out at 4.4 states/eV per cell. As for the final energy: -10.7579 eV per atom.

a = 4.638 Å, b = 4.638 Å, c = 4.638 Å
α = 90.00°, β = 90.00°, γ = 90.00°
Sites, in units of the cell vectors:
Be 0.000 0.500 0.000
Be 0.000 0.000 0.500
Be 0.500 0.000 0.000
Ge 0.500 0.500 0.500
Zr 0.000 0.000 0.000

***

# 4
Computed, not measured: a PBEsol-optimized structure of LiMgZn2 at the meta-GGA SCAN level of DFT.

Values from the calculation:
Its space group is P4mm, No. 99. As for the formation enthalpy at 0 K: -117 meV/atom. The theoretical density is 4.25 g/cm3. The density of states at the Fermi level comes out at 0.9 states/eV per cell. As for the final energy: -8.7155 eV per atom.

a = 3.263 Å, b = 3.263 Å, c = 5.946 Å
α = 90.00°, β = 90.00°, γ = 90.00°
Sites, in units of the cell vectors:
Zn 0.000 0.000 0.022
Zn 0.500 0.500 0.252
Mg 0.500 0.500 0.755
Li 0.000 0.000 0.471

***

# 5
Computed, not measured: a PBEsol-optimized structure of CsTe2Pb2 at the meta-GGA SCAN level of DFT.

Values from the calculation:
Its space group is I4/mmm, No. 139. The raw formation energy comes out at -0.573 eV per atom. The theoretical density is 6.92 g/cm3. The density of states at the Fermi level comes out at 1.0 states/eV per cell. As for the final energy: -53.3476 eV per atom.

a = 5.903 Å, b = 5.903 Å, c = 6.925 Å
α = 115.23°, β = 115.23°, γ = 90.00°
Sites, in units of the cell vectors:
Pb 0.351 0.351 0.702
Pb 0.649 0.649 0.298
Cs 0.000 0.000 0.000
Te 0.250 0.750 0.500
Te 0.750 0.250 0.500

***

# 6
Computed, not measured: a PBEsol-optimized structure of Rb2BPd at the meta-GGA SCAN level of DFT.

Values from the calculation:
Its space group is I-42d, No. 122. As for the formation enthalpy at 0 K: 332 meV/atom. The theoretical density is 3.02 g/cm3. The density of states at the Fermi level comes out at 3.4 states/eV per cell. As for the final energy: -20.0885 eV per atom.

a = 4.017 Å, b = 9.111 Å, c = 9.111 Å
α = 87.22°, β = 77.27°, γ = 77.27°
Sites, in units of the cell vectors:
B 0.250 0.500 0.500
B 0.500 0.000 0.000
Rb 0.920 0.205 0.705
Rb 0.830 0.795 0.295
Rb 0.375 0.705 0.795
Rb 0.875 0.295 0.205
Pd 0.750 0.500 0.500
Pd 0.000 0.000 0.000

***

# 7
Computed, not measured: a PBEsol-optimized structure of Te2IrAu at the meta-GGA SCAN level of DFT.

Values from the calculation:
Its space group is I-42d, No. 122. Its distance to the lowest polymorph of the same formula is 275 meV per atom. The raw formation energy comes out at 0.020 eV per atom. The theoretical density is 9.89 g/cm3. The density of states at the Fermi level comes out at 4.8 states/eV per cell. As for the final energy: -53.6693 eV per atom.

a = 6.237 Å, b = 6.237 Å, c = 7.101 Å
α = 116.05°, β = 116.05°, γ = 90.00°
Sites, in units of the cell vectors:
Te 0.399 0.875 0.250
Te 0.851 0.375 0.250
Te 0.125 0.149 0.750
Te 0.625 0.601 0.750
Ir 0.750 0.250 0.500
Ir 0.500 0.500 0.000
Au 0.250 0.750 0.500
Au 0.000 0.000 0.000

***

# 8
Computed, not measured: a PBEsol-optimized structure of CrPAu2 at the meta-GGA SCAN level of DFT.

Values from the calculation:
Its space group is P4mm, No. 99. As for the formation enthalpy at 0 K: 46 meV/atom. The theoretical density is 13.39 g/cm3. The density of states at the Fermi level comes out at 2.0 states/eV per cell. As for the final energy: -41.7285 eV per atom.

a = 2.962 Å, b = 2.962 Å, c = 6.737 Å
α = 90.00°, β = 90.00°, γ = 90.00°
Site moments in Bohr magnetons follow the coordinates.
Sites, in units of the cell vectors:
Au 0.000 0.000 0.980  0.01
Au 0.500 0.500 0.276  0.05
Cr 0.000 0.000 0.553  2.23
P 0.500 0.500 0.692  -0.15

***

# 9
Computed, not measured: a PBEsol-optimized structure of AlCSe2 at the meta-GGA SCAN level of DFT.

Values from the calculation:
Its space group is R-3m, No. 166. The raw formation energy comes out at 0.840 eV per atom. The theoretical density is 3.96 g/cm3. The density of states at the Fermi level comes out at 1.6 states/eV per cell. As for the final energy: -13.6621 eV per atom.

a = 3.846 Å, b = 3.846 Å, c = 6.823 Å
α = 73.63°, β = 73.63°, γ = 60.00°
Sites, in units of the cell vectors:
C 0.000 0.000 0.000
Al 0.500 0.500 0.500
Se 0.909 0.909 0.272
Se 0.091 0.091 0.728

***

# 10
Computed, not measured: a PBEsol-optimized structure of ZnSiPt at the meta-GGA SCAN level of DFT.

Values from the calculation:
Its space group is P-6m2, No. 187. The raw formation energy comes out at -0.260 eV per atom. The theoretical density is 11.06 g/cm3. The density of states at the Fermi level comes out at 1.2 states/eV per cell. As for the final energy: -31.5018 eV per atom.

a = 2.835 Å, b = 4.200 Å, c = 4.200 Å
α = 120.00°, β = 90.00°, γ = 90.00°
Sites, in units of the cell vectors:
Pt 0.000 0.000 0.000
Si 0.000 0.667 0.333
Zn 0.500 0.333 0.667

***

# 11
Computed, not measured: a PBEsol-optimized structure of ScInHg2 at the meta-GGA SCAN level of DFT.

Values from the calculation:
Its space group is C2/m, No. 12. As for the formation enthalpy at 0 K: -344 meV/atom. The theoretical density is 10.63 g/cm3. The density of states at the Fermi level comes out at 1.7 states/eV per cell. As for the final energy: -46.3324 eV per atom.

a = 3.446 Å, b = 5.087 Å, c = 5.431 Å
α = 101.28°, β = 90.00°, γ = 109.80°
Sites, in units of the cell vectors:
Sc 0.500 0.000 0.000
Hg 0.753 0.507 0.762
Hg 0.247 0.493 0.238
In 0.000 0.000 0.500

***

# 12
Computed, not measured: a PBEsol-optimized structure of BaYGa3 at the meta-GGA SCAN level of DFT.

Values from the calculation:
Its space group is Pm-3m, No. 221. As for the formation enthalpy at 0 K: -7 meV/atom. The theoretical density is 4.53 g/cm3. The density of states at the Fermi level comes out at 5.7 states/eV per cell. As for the final energy: -23.2937 eV per atom.

a = 5.423 Å, b = 5.423 Å, c = 5.423 Å
α = 90.00°, β = 90.00°, γ = 90.00°
Site moments in Bohr magnetons follow the coordinates.
Sites, in units of the cell vectors:
Y 0.000 0.000 0.000  0.18
Ba 0.500 0.500 0.500  0.00
Ga 0.000 0.500 0.000  0.03
Ga 0.000 0.000 0.500  0.03
Ga 0.500 0.000 0.000  0.03

***

# 13
Computed, not measured: a PBEsol-optimized structure of NaTiRe2Mo at the meta-GGA SCAN level of DFT.

Values from the calculation:
Its space group is P4/mmm, No. 123. As for the formation enthalpy at 0 K: 1862 meV/atom. The theoretical density is 8.94 g/cm3. The density of states at the Fermi level comes out at 5.0 states/eV per cell. As for the final energy: -37.6033 eV per atom.

a = 4.603 Å, b = 4.603 Å, c = 4.728 Å
α = 90.00°, β = 90.00°, γ = 90.00°
Sites, in units of the cell vectors:
Re 0.000 0.500 0.000
Re 0.500 0.000 0.000
Mo 0.000 0.000 0.000
Na 0.000 0.000 0.500
Ti 0.500 0.500 0.500

***

# 14
Computed, not measured: a PBEsol-optimized structure of LaCu2P at the meta-GGA SCAN level of DFT.

Values from the calculation:
Its space group is P4/mmm, No. 123. As for the formation enthalpy at 0 K: -158 meV/atom. The theoretical density is 6.73 g/cm3. The density of states at the Fermi level comes out at 1.3 states/eV per cell. As for the final energy: -21.1337 eV per atom.

a = 4.085 Å, b = 4.079 Å, c = 4.395 Å
α = 90.00°, β = 90.00°, γ = 90.00°
Sites, in units of the cell vectors:
Cu 0.000 0.000 0.000
Cu 0.500 0.500 0.000
La 0.500 0.000 0.500
P 0.000 0.500 0.500

***

# 15
Computed, not measured: a PBEsol-optimized structure of TeIrRuI2 at the meta-GGA SCAN level of DFT.

Values from the calculation:
Its space group is P4/mmm, No. 123. The raw formation energy comes out at 1.457 eV per atom. The theoretical density is 8.39 g/cm3. The density of states at the Fermi level comes out at 5.1 states/eV per cell. As for the final energy: -41.8746 eV per atom.

a = 4.937 Å, b = 5.201 Å, c = 5.201 Å
α = 90.00°, β = 90.00°, γ = 90.00°
Site moments in Bohr magnetons follow the coordinates.
Sites, in units of the cell vectors:
I 0.000 0.000 0.500  0.14
I 0.000 0.500 0.000  0.14
Ru 0.000 0.000 0.000  -0.06
Ir 0.500 0.500 0.500  2.17
Te 0.500 0.000 0.000  0.07

***

# 16
Computed, not measured: a PBEsol-optimized structure of TiIn3Hg at the meta-GGA SCAN level of DFT.

Values from the calculation:
Its space group is Pm-3m, No. 221. As for the formation enthalpy at 0 K: 779 meV/atom. The theoretical density is 6.50 g/cm3. The density of states at the Fermi level comes out at 4.3 states/eV per cell. As for the final energy: -36.0921 eV per atom.

a = 5.330 Å, b = 5.330 Å, c = 5.330 Å
α = 90.00°, β = 90.00°, γ = 90.00°
Site moments in Bohr magnetons follow the coordinates.
Sites, in units of the cell vectors:
Ti 0.500 0.500 0.500  2.03
Hg 0.000 0.000 0.000  0.00
In 0.000 0.500 0.000  0.00
In 0.000 0.000 0.500  0.00
In 0.500 0.000 0.000  0.00

***

# 17
Computed, not measured: a PBEsol-optimized structure of NaInAg2Cl at the meta-GGA SCAN level of DFT.

Values from the calculation:
Its space group is P4/mmm, No. 123. The raw formation energy comes out at 0.126 eV per atom. The theoretical density is 3.85 g/cm3. The density of states at the Fermi level comes out at 1.5 states/eV per cell. As for the final energy: -21.5363 eV per atom.

a = 5.065 Å, b = 5.065 Å, c = 6.537 Å
α = 90.00°, β = 90.00°, γ = 90.00°
Sites, in units of the cell vectors:
Na 0.000 0.000 0.500
Cl 0.500 0.500 0.500
Ag 0.000 0.500 0.000
Ag 0.500 0.000 0.000
In 0.000 0.000 0.000

***

# 18
Computed, not measured: a PBEsol-optimized structure of NiAsPd at the meta-GGA SCAN level of DFT.

Values from the calculation:
Its space group is P-62m, No. 189. As for the formation enthalpy at 0 K: -365 meV/atom. The theoretical density is 9.83 g/cm3. The density of states at the Fermi level comes out at 6.0 states/eV per cell. As for the final energy: -23.4112 eV per atom.

a = 3.705 Å, b = 6.157 Å, c = 6.157 Å
α = 120.00°, β = 90.00°, γ = 90.00°
Sites, in units of the cell vectors:
Ni 0.000 0.000 0.750
Ni 0.000 0.750 0.000
Ni 0.000 0.250 0.250
As 0.000 0.667 0.333
As 0.000 0.333 0.667
As 0.500 0.000 0.000
Pd 0.500 0.000 0.409
Pd 0.500 0.409 0.000
Pd 0.500 0.591 0.591

***

# 19
Computed, not measured: a PBEsol-optimized structure of CdNiAs2Cl at the meta-GGA SCAN level of DFT.

Values from the calculation:
Its space group is P4/mmm, No. 123. The raw formation energy comes out at 1.305 eV per atom. The theoretical density is 5.30 g/cm3. The density of states at the Fermi level comes out at 4.5 states/eV per cell. As for the final energy: -17.6841 eV per atom.

a = 4.748 Å, b = 4.748 Å, c = 4.951 Å
α = 90.00°, β = 90.00°, γ = 90.00°
Site moments in Bohr magnetons follow the coordinates.
Sites, in units of the cell vectors:
Ni 0.500 0.500 0.500  -1.01
As 0.000 0.500 0.000  -0.05
As 0.500 0.000 0.000  -0.05
Cl 0.000 0.000 0.000  0.01
Cd 0.000 0.000 0.500  0.01

***

# 20
Computed, not measured: a PBEsol-optimized structure of Mn2NbS2 at the meta-GGA SCAN level of DFT.

Values from the calculation:
Its space group is I4/mmm, No. 139. The raw formation energy comes out at -0.011 eV per atom. The theoretical density is 6.90 g/cm3. The density of states at the Fermi level comes out at 5.1 states/eV per cell. As for the final energy: -17.7900 eV per atom.

a = 3.984 Å, b = 3.984 Å, c = 4.928 Å
α = 113.84°, β = 113.84°, γ = 90.00°
Sites, in units of the cell vectors:
Nb 0.000 0.000 0.000
Mn 0.365 0.365 0.730
Mn 0.635 0.635 0.270
S 0.250 0.750 0.500
S 0.750 0.250 0.500